No. 1
Compound: Li2ScCd
Source: the Alexandria database
Functional: PBE
Structure: optimized geometry

Properties
VASP energy ... -0.2023 Ry per atom

abc: 3.014 3.014 9.543
angles: 90.00 90.00 106.84
Fractional positions:
Li: 0.000 0.000 0.234
Li: 0.000 0.000 0.766
Sc: 0.500 0.500 0.500
Cd: 0.500 0.500 0.000

---

No. 2
Compound: Sb2Pb3Au7
Source: the Alexandria database
Functional: PBE
Structure: optimized geometry

Properties
Formation energy without anion corrections ... -0.003 eV/atom

abc: 4.687 4.714 14.221
angles: 98.07 96.32 102.52
Fractional positions:
Sb: 0.030 0.167 0.328
Sb: 0.970 0.833 0.672
Pb: 0.249 0.353 0.082
Pb: 0.500 0.000 0.500
Pb: 0.751 0.647 0.918
Au: 0.000 0.500 0.500
Au: 0.149 0.274 0.871
Au: 0.307 0.399 0.677
Au: 0.448 0.997 0.219
Au: 0.552 0.003 0.781
Au: 0.693 0.601 0.323
Au: 0.851 0.726 0.129

---

Sequential spin magnetization output: 0.00, 0.00 Bohr magnetons per cell